No. 1
! Cs3Pm3ZrO8 (PBE, optimized geometry); values from VASP
&SYSTEM
  ibrav = 0, nat = 15, ntyp = 4
/
ATOMIC_SPECIES
O 16.00 O.upf
Pm 145.00 Pm.upf
Cs 132.91 Cs.upf
Zr 91.22 Zr.upf
CELL_PARAMETERS angstrom
-6.760 -1.444 1.768
5.094 -0.105 4.994
-2.261 7.348 -2.641
ATOMIC_POSITIONS crystal
O 0.205 0.953 0.657
O 0.721 0.442 0.663
O 0.795 0.047 0.343
O 0.205 0.409 0.657
Pm 0.500 0.000 0.500
Cs 0.000 0.500 0.000
Zr 0.000 0.000 0.500
Pm 0.000 0.500 0.500
O 0.252 0.047 0.343
O 0.748 0.953 0.657
Cs 0.000 0.000 0.000
Pm 0.500 0.500 0.500
Cs 0.500 0.500 0.000
O 0.795 0.591 0.343
O 0.279 0.558 0.337
! Raw total energy: -105.89 eV/f.u.

=====

No. 2
! CsPrO (PBE, optimized geometry); values from VASP
&SYSTEM
  ibrav = 0, nat = 6, ntyp = 3
/
ATOMIC_SPECIES
O 16.00 O.upf
Pr 140.91 Pr.upf
Cs 132.91 Cs.upf
CELL_PARAMETERS angstrom
4.273 0.000 0.000
2.136 3.700 0.000
2.136 1.233 16.347
ATOMIC_POSITIONS crystal
O 0.409 0.409 0.773
O 0.591 0.591 0.227
Pr 0.633 0.633 0.101
Pr 0.367 0.367 0.899
Cs 0.105 0.105 0.684
Cs 0.895 0.895 0.316
! Raw total energy: -14.48 eV/f.u.

=====

No. 3
! Cs5PrO4 (PBE, optimized geometry); values from VASP
&SYSTEM
  ibrav = 0, nat = 20, ntyp = 3
/
ATOMIC_SPECIES
Cs 132.91 Cs.upf
O 16.00 O.upf
Pr 140.91 Pr.upf
CELL_PARAMETERS angstrom
7.032 0.000 0.000
0.000 10.143 0.000
0.000 0.000 8.722
ATOMIC_POSITIONS crystal
Cs 0.255 0.315 0.739
O 0.043 0.191 0.000
Cs 0.255 0.685 0.261
Cs 0.745 0.815 0.761
O 0.043 0.809 0.000
Cs 0.255 0.685 0.739
O 0.396 0.000 0.778
Cs 0.745 0.185 0.239
Cs 0.184 0.000 0.500
Cs 0.745 0.815 0.239
Cs 0.816 0.500 0.000
O 0.396 0.000 0.222
Pr 0.778 0.500 0.500
O 0.957 0.309 0.500
O 0.604 0.500 0.278
Cs 0.745 0.185 0.761
O 0.604 0.500 0.722
Cs 0.255 0.315 0.261
Pr 0.222 0.000 0.000
O 0.957 0.691 0.500
! Raw total energy: -44.54 eV/f.u.

=====

No. 4
! Cs2PrO3 (PBE, optimized geometry); values from VASP
&SYSTEM
  ibrav = 0, nat = 12, ntyp = 3
/
ATOMIC_SPECIES
Cs 132.91 Cs.upf
O 16.00 O.upf
Pr 140.91 Pr.upf
CELL_PARAMETERS angstrom
-0.117 6.048 3.740
-3.907 0.239 -5.938
-5.334 -2.218 3.420
ATOMIC_POSITIONS crystal
Cs 0.803 0.475 0.223
O 0.628 0.628 0.853
O 0.099 0.851 0.501
Cs 0.197 0.525 0.723
Pr 0.096 0.096 0.266
Cs 0.525 0.197 0.723
Cs 0.475 0.803 0.223
O 0.851 0.099 0.501
Pr 0.904 0.904 0.766
O 0.901 0.149 0.001
O 0.149 0.901 0.001
O 0.372 0.372 0.353
! Raw total energy: -32.45 eV/f.u.

=====

Calculated uncorrected formation energy, -263; -125; -151; -178 kJ/mol of atoms (same order as the records).
Calculated M_tot, 0.0; 0.1; 0.0; 2.0 Bohr magnetons per cell (same order as the records).
Calculated calculated volume, 308.86; 258.46; 622.13; 310.97 Å³ per cell (same order as the records).